# Nd2GdCo2B2N3

An optimized crystal structure of Nd2GdCo2B2N3 (PBE, OQMD).

Output
V   129 Å³ per cell
Space-group type   No. 139
Final energy   -7.7536 eV/atom

abc: 10.245 10.245 10.245
angles: 159.74 159.74 28.80
Fractional positions:
Nd 0.127 0.127 0.000
Nd 0.873 0.873 0.000
Gd 0.500 0.500 0.000
Co 0.250 0.750 0.500
Co 0.750 0.250 0.500
B 0.303 0.303 0.000
B 0.697 0.697 0.000
N 0.000 0.000 0.000
N 0.379 0.379 0.000
N 0.621 0.621 0.000